Below is a relaxed Sr2Mg crystal, with properties calculated at the PBE level.

Structure (extended XYZ):
```
3
Lattice="6.0749 -0.0023 0.0015 -3.0395 5.2614 -0.0017 0.0010 -0.0011 4.0607" Properties=species:S:1:pos:R:3 pbc="T T T"
Mg 6.0749 -0.0023 0.0015
Sr 3.0372 1.7523 1.1600
Sr -0.0009 3.5057 2.9006
```

## Properties
total magnetization	0.0	Bohr magnetons per cell
calculated density	2.6	Mg/m³
energy	-1.574	eV/atom
energy relative to the elements	79	meV per atom
SG	P-3m1